# ScSiHgBr2

An optimized crystal structure of ScSiHgBr2 (GGA-PBE, Alexandria).

Calculated values
final energy = -2.894 eV per atom
energy relative to the elements, uncorrected = 0.93 eV per formula unit

Cell: 5.2650 5.1584 5.2650 Å, 90.00 90.00 90.00°
Last column: nearest neighbours and their distance in Å.
Fractional coordinates of all 5 atoms:
Br 0.5000 0.0000 0.0000  2 Si 2.63
Br 0.0000 0.0000 0.5000  2 Si 2.63
Sc 0.5000 0.5000 0.5000  8 Br 3.69, 4 Hg 3.72
Si 0.0000 0.0000 0.0000  2 Hg 2.58, 4 Br 2.63
Hg 0.0000 0.5000 0.0000  2 Si 2.58